[1]
Entry from Alexandria: a relaxed structure of NiRu2Se (PBEsol).

Cell: 3.0101 4.1574 4.1574 Å, 90.00 90.00 90.00°
Closest atoms and distances in Å follow each position.
Positions (direct):
Ni 0.5000 0.0000 0.0000  8 Ru 2.57
Se 0.5000 0.5000 0.5000  8 Ru 2.57
Ru 0.0000 0.0000 0.5000  4 Se 2.57, 4 Ni 2.57
Ru 0.0000 0.5000 0.0000  4 Se 2.57, 4 Ni 2.57

Formation energy without anion corrections, eV/atom: 0.256
M_tot, Bohr magnetons per cell: 0.00
Electronic total energy, eV/atom: -7.3319
Calculated density, g/cm3: 10.8
N(E_F), states/eV/cell: 4.178
Space group: P4/mmm, No. 123


[2]
Entry from Alexandria: a relaxed structure of SiNiRu2 (PBEsol).

Cell: 2.7357 4.1661 4.3865 Å, 90.00 90.00 90.00°
Closest atoms and distances in Å follow each position.
Positions (direct):
Ni 0.0000 0.5000 0.5000  4 Ru 2.49, 4 Si 2.58, 2 Ni 2.74
Si 0.5000 0.5000 0.0000  4 Ru 2.49, 4 Ni 2.58, 2 Si 2.74
Ru 0.5000 0.0000 0.5000  4 Ni 2.49, 6 Ru 2.58-2.74
Ru 0.0000 0.0000 0.0000  4 Si 2.49, 6 Ru 2.58-2.74

Formation energy without anion corrections, eV/atom: -0.020
M_tot, Bohr magnetons per cell: 0.00
Electronic total energy, eV/atom: -8.0826
Calculated density, g/cm3: 9.6
N(E_F), states/eV/cell: 4.227
Space group: Pmmm, No. 47


[3]
Entry from Alexandria: a relaxed structure of Si3NiRu (PBEsol).

Cell: 4.5045 4.5045 4.5045 Å, 90.00 90.00 90.00°
Closest atoms and distances in Å follow each position.
Positions (direct):
Si 0.0000 0.0000 0.5000  2 Ru 2.25
Si 0.0000 0.5000 0.0000  2 Ru 2.25
Si 0.5000 0.0000 0.0000  2 Ru 2.25
Ru 0.0000 0.0000 0.0000  6 Si 2.25
Ni 0.5000 0.5000 0.5000  12 Si 3.19

Formation energy without anion corrections, eV/atom: 0.706
M_tot, Bohr magnetons per cell: 0.00
Electronic total energy, eV/atom: -6.0077
Calculated density, g/cm3: 4.4
N(E_F), states/eV/cell: 1.864
Space group: Pm-3m, No. 221